This record from Alexandria describes an optimized crystal structure of Cr2Si. The functional is PBE.

Cell: 4.0454 4.0454 5.1337 Å, 90.00 90.00 120.00°
Fractional positions:
1 Cr 0.6667 0.3333 0.4631
2 Cr 0.3333 0.6667 0.9631
3 Cr 0.3333 0.6667 0.5369
4 Cr 0.6667 0.3333 0.0369
5 Si 0.0000 0.0000 0.2500
6 Si 0.0000 0.0000 0.7500

Values from the calculation:
* E: -8.166 eV/atom
* total moment: 0.00 μB/f.u.
* ΔE_f (raw): 0.06 eV/atom

***

This record from Alexandria describes an optimized crystal structure of SnTe2RuN. The functional is PBE.

Cell: 5.7603 5.7603 3.8345 Å, 90.00 90.00 90.00°
Last column: magnetic moment on the atom in μB.
Fractional positions:
1 Ru 0.5000 0.5000 0.5000  2.21
2 Te 0.0000 0.5000 0.0000  -0.03
3 Te 0.5000 0.0000 0.0000  -0.03
4 Sn 0.0000 0.0000 0.0000  -0.02
5 N 0.0000 0.0000 0.5000  0.34

Values from the calculation:
* E: -4.174 eV/atom
* total moment: 2.77 μB/f.u.
* ΔE_f (raw): 1.40 eV/atom
* polymorph energy (0 for the lowest one): 116.34 kJ/mol of atoms

***

This record from Alexandria describes an optimized crystal structure of Ag6ICl2F2. The functional is PBE.

Cell: 5.9937 6.8894 7.3017 Å, 115.01 90.00 115.78°
Fractional positions:
1 Ag 0.7623 0.5246 0.7038
2 Ag 0.1332 0.7592 0.1037
3 Ag 0.3740 0.2408 0.8963
4 Ag 0.8668 0.2408 0.8963
5 Ag 0.6260 0.7592 0.1037
6 Ag 0.2377 0.4754 0.2962
7 I 0.5000 0.0000 0.5000
8 Cl 0.7104 0.4208 0.2561
9 Cl 0.2896 0.5792 0.7439
10 F 0.9621 0.9242 0.7759
11 F 0.0379 0.0758 0.2241

Values from the calculation:
* E: -2.825 eV/atom
* total moment: 0.00 μB/f.u.
* ΔE_f (raw): -0.45 eV/atom

***

This record from Alexandria describes an optimized crystal structure of K2DyPa3O12. The functional is PBE.

Cell: 8.0578 8.0578 8.0578 Å, 61.63 61.63 61.63°
Last column: magnetic moment on the atom in μB.
Fractional positions:
1 K 0.6805 0.6805 0.6805  0.00
2 K 0.3195 0.3195 0.3195  0.00
3 Dy 0.0000 0.0000 0.0000  0.02
4 Pa 0.5000 0.0000 0.0000  0.10
5 Pa 0.0000 0.5000 0.0000  0.10
6 Pa 0.0000 0.0000 0.5000  0.10
7 O 0.3093 0.3093 0.9567  0.20
8 O 0.9337 0.9337 0.3275  0.17
9 O 0.3275 0.9337 0.9337  0.17
10 O 0.9567 0.3093 0.3093  0.20
11 O 0.9337 0.3275 0.9337  0.17
12 O 0.3093 0.9567 0.3093  0.20
13 O 0.6907 0.6907 0.0433  0.20
14 O 0.0663 0.0663 0.6725  0.17
15 O 0.6725 0.0663 0.0663  0.17
16 O 0.0433 0.6907 0.6907  0.20
17 O 0.0663 0.6725 0.0663  0.17
18 O 0.6907 0.0433 0.6907  0.20

Values from the calculation:
* E: -7.950 eV/atom
* total moment: 2.88 μB/f.u.
* ΔE_f (raw): -2.68 eV/atom